A relaxed Ni2HgRhW crystal, computed with GGA-PBE.

abc: 4.551 4.551 4.737
angles: 90.00 90.00 90.00
Space group P4/mmm (No. 123)
Unique sites:
1 Ni 0.000 0.500 0.000 (multiplicity 2)
2 Hg 0.000 0.000 0.500 (multiplicity 1)
3 Rh 0.500 0.500 0.500 (multiplicity 1)
4 W 0.500 0.500 0.000 (multiplicity 1)

## Properties
Total magnetic moment ... 0.000 μB/atom
Mass density ... 10.235 g cm⁻³
Formation energy from the elements ... 1.2010 eV per atom